[1]
This record from Alexandria via LeMat-Bulk describes a geometry-optimized Sn2BiPb2 structure. The functional is PBE.

Output
The formation energy comes out at 4.2 kJ per mole of atoms. For the total moment, the calculation gives 0.00 μB per formula unit. Its density is 9.48 Mg/m³. The value obtained for the total energy is -3.817 eV/atom.

Cell: 6.844 6.844 8.896 Å, 111.17 111.17 52.27°
Atoms (fractional coordinates):
1 Sn 0.057 0.757 0.556
2 Sn 0.243 0.943 0.944
3 Sn 0.757 0.057 0.056
4 Sn 0.943 0.243 0.444
5 Bi 0.344 0.656 0.250
6 Bi 0.656 0.344 0.750
7 Pb 0.142 0.460 0.848
8 Pb 0.460 0.142 0.348
9 Pb 0.540 0.858 0.652
10 Pb 0.858 0.540 0.152


[2]
This record from Alexandria via LeMat-Bulk describes a geometry-optimized La3Tb2DySe6 structure. The functional is PBE.

Output
For the total moment, the calculation gives 0.00 μB per formula unit. Its density is 7.25 Mg/m³. The value obtained for the total energy is -6.020 eV/atom.

Cell: 7.232 7.232 7.356 Å, 99.42 99.42 120.18°
Atoms (fractional coordinates):
1 La 0.000 0.000 0.000
2 La 0.333 0.667 0.000
3 La 0.667 0.333 0.000
4 Tb 0.167 0.833 0.500
5 Tb 0.833 0.167 0.500
6 Dy 0.500 0.500 0.500
7 Se 0.091 0.423 0.268
8 Se 0.245 0.245 0.733
9 Se 0.423 0.091 0.268
10 Se 0.577 0.909 0.732
11 Se 0.755 0.755 0.267
12 Se 0.909 0.577 0.732


[3]
This record from Alexandria via LeMat-Bulk describes a geometry-optimized LiMgRe structure. The functional is PBE.

Output
The formation energy comes out at 25.2 kJ per mole of atoms. For the total moment, the calculation gives 0.00 μB per formula unit. Its density is 7.47 Mg/m³. The value obtained for the total energy is -5.058 eV/atom.

Cell: 2.770 2.770 7.274 Å, 90.00 90.00 120.00°
Atoms (fractional coordinates):
1 Li 0.000 0.000 0.000
2 Mg 0.333 0.667 0.354
3 Re 0.667 0.333 0.684


[4]
This record from Alexandria via LeMat-Bulk describes a geometry-optimized LiBeSb2 structure. The functional is PBE.

Output
For the total moment, the calculation gives 0.00 μB per formula unit. Its density is 5.44 Mg/m³. The value obtained for the total energy is -3.309 eV/atom.

Cell: 3.821 4.153 4.992 Å, 90.00 90.00 90.00°
Atoms (fractional coordinates):
1 Li 0.000 0.000 0.000
2 Be 0.000 0.500 0.500
3 Sb 0.500 0.000 0.500
4 Sb 0.500 0.500 0.000